Entry 1:
K5BrCl4 | PBE | optimized geometry

a = 4.520 Å, b = 7.919 Å, c = 10.177 Å
α = 75.27°, β = 77.17°, γ = 73.42°
Last column: magnetic moment on the atom in μB.
Atoms (fractional coordinates):
K1 0.204 0.902 0.690  0.00
K2 0.796 0.098 0.310  0.00
K3 0.394 0.320 0.892  0.00
K4 0.000 0.500 0.500  0.00
K5 0.606 0.680 0.108  0.00
Br1 0.000 0.000 0.000  0.07
Cl1 0.598 0.203 0.602  0.01
Cl2 0.203 0.392 0.202  0.01
Cl3 0.797 0.608 0.798  0.01
Cl4 0.402 0.797 0.398  0.01

## Properties
- Relative energy among the computed polymorphs: 0.00 eV/f.u.
- Magnetization: 0.015 μB/atom
- Uncorrected energy: -3.37 eV per atom
- E_form (uncorrected): -1.916 eV per atom

Entry 2:
K2BrCl2 | PBE | optimized geometry

a = 8.826 Å, b = 8.826 Å, c = 4.017 Å
α = 90.00°, β = 90.00°, γ = 90.00°
Last column: magnetic moment on the atom in μB.
Atoms (fractional coordinates):
K1 0.347 0.847 0.000  0.00
K2 0.847 0.653 0.000  0.00
K3 0.653 0.153 0.000  0.00
K4 0.153 0.347 0.000  0.00
Br1 0.000 0.000 0.000  0.45
Br2 0.500 0.500 0.000  0.45
Cl1 0.150 0.650 0.500  0.15
Cl2 0.650 0.850 0.500  0.14
Cl3 0.850 0.350 0.500  0.15
Cl4 0.350 0.150 0.500  0.14

## Properties
- Relative energy among the computed polymorphs: 0.00 eV/f.u.
- Magnetization: 0.200 μB/atom
- Uncorrected energy: -2.84 eV per atom
- E_form (uncorrected): -1.328 eV per atom

Entry 3:
KBrCl6 | PBE | optimized geometry

a = 5.758 Å, b = 7.467 Å, c = 7.467 Å
α = 65.32°, β = 79.91°, γ = 100.09°
Atoms (fractional coordinates):
K1 0.500 0.500 0.500
Br1 0.000 0.000 0.000
Cl1 0.371 0.384 0.007
Cl2 0.371 0.993 0.616
Cl3 0.629 0.007 0.384
Cl4 0.629 0.616 0.993
Cl5 0.062 0.717 0.283
Cl6 0.938 0.283 0.717

## Properties
- Magnetization: 0.000 μB/atom
- Uncorrected energy: -2.22 eV per atom
- E_form (uncorrected): -0.491 eV per atom

Entry 4:
KBrCl2 | PBE | optimized geometry

a = 5.106 Å, b = 5.106 Å, c = 14.812 Å
α = 90.00°, β = 90.00°, γ = 120.00°
Atoms (fractional coordinates):
K1 0.000 0.000 0.500
K2 0.000 0.000 0.000
Br1 0.667 0.333 0.750
Br2 0.333 0.667 0.250
Cl1 0.667 0.333 0.587
Cl2 0.667 0.333 0.913
Cl3 0.333 0.667 0.413
Cl4 0.333 0.667 0.087

## Properties
- Magnetization: 0.000 μB/atom
- Uncorrected energy: -2.65 eV per atom
- E_form (uncorrected): -1.031 eV per atom

Entry 5:
KBrCl | PBE | optimized geometry

a = 4.424 Å, b = 4.552 Å, c = 10.886 Å
α = 91.24°, β = 101.72°, γ = 90.00°
Atoms (fractional coordinates):
K1 0.834 0.762 0.667
K2 0.166 0.238 0.333
Br1 0.447 0.087 0.893
Br2 0.553 0.913 0.107
Cl1 0.317 0.267 0.635
Cl2 0.683 0.733 0.365

## Properties
- Relative energy among the computed polymorphs: 0.00 eV/f.u.
- Magnetization: 0.000 μB/atom
- Uncorrected energy: -2.84 eV per atom
- E_form (uncorrected): -1.306 eV per atom

Entry 6:
K2Br2Cl | PBE | optimized geometry

a = 4.582 Å, b = 4.582 Å, c = 17.972 Å
α = 97.32°, β = 97.32°, γ = 90.00°
Last column: magnetic moment on the atom in μB.
Atoms (fractional coordinates):
K1 0.941 0.441 0.882  0.00
K2 0.691 0.691 0.382  0.00
K3 0.309 0.309 0.618  0.00
K4 0.559 0.059 0.118  0.00
Br1 0.838 0.838 0.676  0.32
Br2 0.088 0.588 0.176  0.32
Br3 0.412 0.912 0.824  0.32
Br4 0.162 0.162 0.324  0.32
Cl1 0.500 0.500 0.000  0.12
Cl2 0.750 0.250 0.500  0.12

## Properties
- Relative energy among the computed polymorphs: 0.00 eV/f.u.
- Magnetization: 0.208 μB/atom
- Uncorrected energy: -2.75 eV per atom
- E_form (uncorrected): -1.272 eV per atom

The highest E_form (uncorrected) belongs to which entry?
KBrCl6